DFT (PBE) results for crystalline Er2NpS at its relaxed geometry.

* density of states at the Fermi level: 7.65 states/eV/f.u.
* formation energy (no corrections): -391.3 meV/atom
* size of the total moment: 5.3 μB/f.u.

```
Er2NpS
1.0
3.5352 0.0000 0.0000
-1.7676 3.0616 0.0000
0.0000 0.0000 30.0766
Er Np S
6 3 3
Cartesian
0.0000 0.0000 3.3159 Er
0.0000 0.0000 26.7607 Er
0.0000 2.0410 16.7352 Er
0.0000 2.0410 23.3670 Er
1.7676 1.0205 6.7096 Er
1.7676 1.0205 13.3414 Er
0.0000 0.0000 0.0000 Np
0.0000 2.0410 20.0511 Np
1.7676 1.0205 10.0255 Np
0.0000 0.0000 15.0383 S
0.0000 2.0410 5.0128 S
1.7676 1.0205 25.0638 S
```



DFT (PBE) results for crystalline KSb2IrBr at its relaxed geometry.

* density of states at the Fermi level: 5.38 states/eV/f.u.
* formation energy (no corrections): 1204.8 meV/atom
* size of the total moment: 0.9 μB/f.u.

```
KSb2IrBr
1.0
5.4762 0.0000 0.0000
0.0000 5.4762 0.0000
0.0000 0.0000 5.4281
K Sb Ir Br
1 2 1 1
Cartesian
0.0000 0.0000 0.0000 K
0.0000 2.7381 2.7140 Sb
2.7381 0.0000 2.7140 Sb
2.7381 2.7381 0.0000 Ir
0.0000 0.0000 2.7140 Br
```



DFT (PBE) results for crystalline Sc7Bi2SeN2 at its relaxed geometry.

* density of states at the Fermi level: 10.23 states/eV/f.u.
* formation energy (no corrections): -990.2 meV/atom
* size of the total moment: 0.0 μB/f.u.

```
Sc7Bi2SeN2
1.0
-2.2263 2.2263 11.7650
2.2263 -2.2263 11.7650
2.2263 2.2263 -11.7650
Sc Bi Se N
7 2 1 2
Cartesian
0.0000 0.0000 0.0000 Sc
2.2263 0.0000 2.0146 Sc
0.0000 0.0000 4.3589 Sc
2.2263 0.0000 9.7504 Sc
0.0000 2.2263 2.0146 Sc
0.0000 0.0000 19.1710 Sc
0.0000 2.2263 9.7504 Sc
0.0000 0.0000 7.4582 Bi
0.0000 0.0000 16.0717 Bi
0.0000 0.0000 11.7650 Se
0.0000 0.0000 2.1868 N
0.0000 0.0000 21.3431 N
```



DFT (PBE) results for crystalline Cu3NiAu3 at its relaxed geometry.

* density of states at the Fermi level: 2.66 states/eV/f.u.
* offset from the most stable computed form: 0 meV/atom
* ΔE_f: 0.77 eV/f.u.
* size of the total moment: 0.0 μB/f.u.

```
Cu3NiAu3
1.0
3.0600 1.7667 6.6050
-3.0600 1.7667 6.6050
0.0000 -3.5334 6.6050
Cu Ni Au
6 2 6
Cartesian
-2.1775 -0.6177 9.3272 Cu
-0.5538 -2.1946 10.4877 Cu
-1.6237 1.5769 10.4877 Cu
1.6237 -1.5769 9.3272 Cu
0.5538 2.1946 9.3272 Cu
2.1775 0.6177 10.4877 Cu
0.0000 0.0000 5.9713 Ni
0.0000 0.0000 13.8436 Ni
-0.4728 -1.8612 7.7890 Au
-1.8483 -0.5211 12.0260 Au
-1.3755 1.3401 7.7890 Au
1.3755 -1.3401 12.0260 Au
1.8483 0.5211 7.7890 Au
0.4728 1.8612 12.0260 Au
```



DFT (PBE) results for crystalline MgAl2I at its relaxed geometry.

* density of states at the Fermi level: 2.76 states/eV/f.u.
* offset from the most stable computed form: 0 meV/atom
* formation energy (no corrections): 455.0 meV/atom
* size of the total moment: 0.0 μB/f.u.

```
MgAl2I
1.0
7.4524 0.0000 0.0000
0.0000 7.4524 0.0000
0.0000 0.0000 7.4524
Mg Al I
4 8 4
Cartesian
0.0000 0.0000 0.0000 Mg
0.0000 3.7262 3.7262 Mg
3.7262 0.0000 3.7262 Mg
3.7262 3.7262 0.0000 Mg
1.8631 1.8631 1.8631 Al
1.8631 1.8631 5.5893 Al
1.8631 5.5893 1.8631 Al
1.8631 5.5893 5.5893 Al
5.5893 1.8631 1.8631 Al
5.5893 1.8631 5.5893 Al
5.5893 5.5893 1.8631 Al
5.5893 5.5893 5.5893 Al
0.0000 0.0000 3.7262 I
0.0000 3.7262 0.0000 I
3.7262 0.0000 0.0000 I
3.7262 3.7262 3.7262 I
```



DFT (PBE) results for crystalline YEr3Te at its relaxed geometry.

* density of states at the Fermi level: 5.63 states/eV/f.u.
* offset from the most stable computed form: 33 meV/atom
* formation energy (no corrections): -342.8 meV/atom
* size of the total moment: 0.0 μB/f.u.

```
YEr3Te
1.0
8.6721 -1.8626 0.0000
8.6721 1.8626 0.0000
-2.7302 0.0000 9.6251
Y Er Te
2 6 2
Cartesian
2.5792 0.0000 3.2568 Y
12.0346 0.0000 6.3684 Y
0.7614 0.0000 8.1023 Er
5.6900 0.0000 4.3908 Er
6.4757 0.0000 7.6166 Er
8.1382 0.0000 2.0085 Er
8.9239 0.0000 5.2344 Er
13.8525 0.0000 1.5228 Er
3.7381 0.0000 8.9896 Te
10.8757 0.0000 0.6356 Te
```



DFT (PBE) results for crystalline Al2Bi5O12 at its relaxed geometry.

* density of states at the Fermi level: 11.08 states/eV/f.u.
* formation energy (no corrections): -1561.8 meV/atom
* size of the total moment: 0.0 μB/f.u.

```
Al2Bi5O12
1.0
6.2779 -3.0161 0.0000
6.2779 3.0161 0.0000
-2.0438 0.0000 6.8279
Al Bi O
2 5 12
Cartesian
6.2779 1.5876 0.0000 Al
6.2779 -1.5876 0.0000 Al
-1.0219 0.0000 3.4139 Bi
3.6040 0.0000 1.0773 Bi
2.6786 0.0000 4.4565 Bi
7.8334 0.0000 2.3714 Bi
6.9081 0.0000 5.7506 Bi
-0.3638 0.0000 1.2392 O
3.7100 1.5785 2.9550 O
2.4071 1.4119 6.2739 O
6.8020 1.5785 3.8729 O
8.1049 1.4119 0.5539 O
5.9099 0.0000 1.2099 O
4.6022 0.0000 5.6180 O
2.4071 -1.4119 6.2739 O
3.7100 -1.5785 2.9550 O
8.1049 -1.4119 0.5539 O
6.8020 -1.5785 3.8729 O
10.8759 0.0000 5.5887 O
```



DFT (PBE) results for crystalline GaH2OsN at its relaxed geometry.

* density of states at the Fermi level: 2.40 states/eV/f.u.
* size of the total moment: 0.0 μB/f.u.

```
GaH2OsN
1.0
3.5711 0.0000 0.0000
0.0000 3.5711 0.0000
0.0000 0.0000 3.9740
Ga H Os N
1 2 1 1
Cartesian
0.0000 0.0000 0.0000 Ga
0.0000 1.7856 1.9870 H
1.7856 0.0000 1.9870 H
1.7856 1.7856 0.0000 Os
1.7856 1.7856 1.9870 N
```



DFT (PBE) results for crystalline Pr3DyHg at its relaxed geometry.

* density of states at the Fermi level: 6.23 states/eV/f.u.
* offset from the most stable computed form: 0 meV/atom
* ΔE_f: -0.86 eV/f.u.
* size of the total moment: 0.0 μB/f.u.

```
Pr3DyHg
1.0
9.8922 -1.8882 0.0000
9.8922 1.8882 0.0000
-2.0518 0.0000 8.6045
Pr Dy Hg
6 2 2
Cartesian
-0.5121 0.0000 2.5033 Pr
2.9150 0.0000 3.2501 Pr
5.9956 0.0000 8.3101 Pr
11.7371 0.0000 0.2945 Pr
14.8177 0.0000 5.3545 Pr
18.2448 0.0000 6.1012 Pr
2.3460 0.0000 7.1591 Dy
15.3867 0.0000 1.4455 Dy
6.9047 0.0000 3.5291 Hg
10.8280 0.0000 5.0754 Hg
```



DFT (PBE) results for crystalline GaBiP2 at its relaxed geometry.

* density of states at the Fermi level: 0.35 states/eV/f.u.
* offset from the most stable computed form: 0 meV/atom
* ΔE_f: 0.24 eV/f.u.
* size of the total moment: 0.0 μB/f.u.

```
GaBiP2
1.0
6.1685 0.0000 0.0000
0.0000 6.1685 0.0000
0.0000 0.0000 11.2103
Ga Bi P
4 4 8
Cartesian
0.0000 0.0000 0.0000 Ga
0.0000 3.0842 2.8026 Ga
3.0842 0.0000 8.4077 Ga
3.0842 3.0842 5.6052 Ga
0.0000 0.0000 5.6052 Bi
0.0000 3.0842 8.4077 Bi
3.0842 0.0000 2.8026 Bi
3.0842 3.0842 0.0000 Bi
1.1808 1.5421 1.4013 P
1.5421 4.2650 4.2039 P
1.5421 4.9877 9.8090 P
1.9035 1.5421 7.0065 P
4.2650 4.6264 7.0065 P
4.6264 1.1808 9.8090 P
4.6264 1.9035 4.2039 P
4.9877 4.6264 1.4013 P
```



DFT (PBE) results for crystalline SrGePdO5 at its relaxed geometry.

* density of states at the Fermi level: 1.70 states/eV/f.u.
* formation energy (no corrections): -1526.8 meV/atom
* size of the total moment: 0.0 μB/f.u.

```
SrGePdO5
1.0
3.4437 -4.6614 0.0000
3.4437 4.6614 0.0000
-3.1077 0.0000 6.6534
Sr Ge Pd O
2 2 2 10
Cartesian
1.1128 3.1615 4.9901 Sr
2.6667 -3.1615 1.6634 Sr
2.6667 2.8554 1.6634 Ge
1.1128 -2.8554 4.9901 Ge
3.4437 0.0000 0.0000 Pd
1.8898 0.0000 3.3267 Pd
-1.5883 0.6642 6.1732 O
1.4989 1.9071 2.6123 O
-0.0344 -0.6642 2.8465 O
3.8346 1.9071 0.7144 O
1.1128 0.7544 4.9901 O
2.6667 -0.7544 1.6634 O
-0.0550 -1.9071 5.9390 O
3.8140 0.6642 3.8070 O
2.2807 -1.9071 4.0411 O
5.3679 -0.6642 0.4803 O
```



DFT (PBE) results for crystalline Pa6Tl at its relaxed geometry.

* density of states at the Fermi level: 23.49 states/eV/f.u.
* ΔE_f: 11.05 eV/f.u.
* size of the total moment: 7.2 μB/f.u.

```
Pa6Tl
1.0
7.7363 0.0000 0.0000
0.0000 7.7363 0.0000
0.0000 0.0000 7.7363
Pa Tl
12 2
Cartesian
0.0000 1.9341 3.8682 Pa
0.0000 3.8682 1.9341 Pa
0.0000 3.8682 5.8022 Pa
0.0000 5.8022 3.8682 Pa
1.9341 0.0000 3.8682 Pa
1.9341 3.8682 0.0000 Pa
3.8682 0.0000 1.9341 Pa
3.8682 0.0000 5.8022 Pa
3.8682 1.9341 0.0000 Pa
3.8682 5.8022 0.0000 Pa
5.8022 0.0000 3.8682 Pa
5.8022 3.8682 0.0000 Pa
0.0000 0.0000 0.0000 Tl
3.8682 3.8682 3.8682 Tl
```



Number 1: total energy -83.28 eV per cell. Number 2: total energy -13.85 eV per cell. Number 3: total energy -84.10 eV per cell. Number 4: total energy -54.27 eV per cell. Number 5: total energy -35.24 eV per cell. Number 6: total energy -50.02 eV per cell. Number 7: total energy -116.06 eV per cell. Number 8: total energy -23.99 eV per cell. Number 9: total energy -40.21 eV per cell. Number 10: total energy -69.93 eV per cell. Number 11: total energy -97.00 eV per cell. Number 12: total energy -96.58 eV per cell.